A geometry-optimized Nd4InPt2 structure. Source: Alexandria, functional PBE.

Computed properties:
Total magnetization ... 0.00 μB/cell
ΔE_f ... -0.650 eV per atom
DOS at the Fermi energy ... 0.86 states/eV per atom

Cell lengths 9.6485, 8.5738, 7.9891 Å; angles 71.16, 57.25, 51.60 degrees
Fractional coordinates of all 14 atoms:
Nd 0.1393 0.2721 0.3145
Nd 0.2259 0.6855 0.7279
Nd 0.2721 0.1393 0.7741
Nd 0.3145 0.7741 0.1393
Nd 0.6855 0.2259 0.8607
Nd 0.7279 0.8607 0.2259
Nd 0.7741 0.3145 0.2721
Nd 0.8607 0.7279 0.6855
In 0.3750 0.3750 0.3750
In 0.6250 0.6250 0.6250
Pt 0.0000 0.0000 0.0000
Pt 0.0000 0.0000 0.5000
Pt 0.0000 0.5000 0.0000
Pt 0.5000 0.0000 0.0000

=====

A geometry-optimized AgAu2F8 structure. Source: Alexandria, functional PBE.

Computed properties:
Distance to the lowest polymorph of the same formula ... 0.08 eV per formula unit
Total magnetization ... 1.07 μB/cell
Raw formation energy ... -1.061 eV/atom
DOS at the Fermi energy ... 0.19 states/eV per atom

Cell lengths 5.4333, 5.8228, 6.0623 Å; angles 69.17, 86.61, 85.39 degrees
Fractional coordinates of all 11 atoms:
Ag 0.0000 0.0000 0.0000
Au 0.2506 0.3442 0.3460
Au 0.7494 0.6558 0.6540
F 0.2398 0.6482 0.0614
F 0.2412 0.5390 0.5494
F 0.2458 0.0446 0.6267
F 0.2803 0.1448 0.1373
F 0.7197 0.8552 0.8627
F 0.7542 0.9554 0.3733
F 0.7588 0.4610 0.4506
F 0.7602 0.3518 0.9386

=====

A geometry-optimized Be2CdMo structure. Source: Alexandria, functional PBE.

Computed properties:
Total magnetization ... 0.00 μB/cell
ΔE_f ... 0.692 eV per atom
DOS at the Fermi energy ... 0.26 states/eV per atom

Cell lengths 6.4193, 6.4193, 5.5127 Å; angles 90.00, 90.00, 90.00 degrees
Fractional coordinates of all 16 atoms:
Be 0.2462 0.2500 0.1250
Be 0.2500 0.7462 0.3750
Be 0.2500 0.7538 0.8750
Be 0.2538 0.2500 0.6250
Be 0.7462 0.7500 0.6250
Be 0.7500 0.2462 0.8750
Be 0.7500 0.2538 0.3750
Be 0.7538 0.7500 0.1250
Cd 0.0000 0.0000 0.5000
Cd 0.0000 0.5000 0.7500
Cd 0.5000 0.0000 0.2500
Cd 0.5000 0.5000 0.0000
Mo 0.0000 0.0000 0.0000
Mo 0.0000 0.5000 0.2500
Mo 0.5000 0.0000 0.7500
Mo 0.5000 0.5000 0.5000

=====

A geometry-optimized SrTcB14 structure. Source: Alexandria, functional PBE.

Computed properties:
Total magnetization ... 0.00 μB/cell
ΔE_f ... -0.078 eV per atom
DOS at the Fermi energy ... 0.18 states/eV per atom

Cell lengths 7.4611, 7.4611, 7.4611 Å; angles 133.49, 86.77, 111.60 degrees
Fractional coordinates of all 32 atoms:
Sr 0.3865 0.1365 0.2500
Sr 0.6135 0.8635 0.7500
Tc 0.0000 0.0000 0.5000
Tc 0.0000 0.5000 0.0000
B 0.0072 0.1314 0.8757
B 0.0299 0.2051 0.3318
B 0.0299 0.6981 0.8248
B 0.0791 0.6646 0.4144
B 0.2014 0.5360 0.6654
B 0.2188 0.4994 0.3970
B 0.2188 0.8218 0.7194
B 0.2443 0.8686 0.3757
B 0.2498 0.3354 0.9144
B 0.3706 0.5360 0.8346
B 0.3733 0.2051 0.6752
B 0.3733 0.6981 0.1682
B 0.3976 0.1782 0.8970
B 0.3976 0.5006 0.2194
B 0.6024 0.4994 0.7806
B 0.6024 0.8218 0.1030
B 0.6267 0.3019 0.8318
B 0.6267 0.7949 0.3248
B 0.6294 0.4640 0.1654
B 0.7502 0.6646 0.0856
B 0.7557 0.1314 0.6243
B 0.7812 0.1782 0.2806
B 0.7812 0.5006 0.6030
B 0.7986 0.4640 0.3346
B 0.9209 0.3354 0.5856
B 0.9701 0.3019 0.1752
B 0.9701 0.7949 0.6682
B 0.9928 0.8686 0.1243

=====

A geometry-optimized Ac2CoNi12P3 structure. Source: Alexandria, functional PBE.

Computed properties:
Total magnetization ... 2.80 μB/cell
ΔE_f ... -0.018 eV per atom
DOS at the Fermi energy ... 0.86 states/eV per atom

Cell lengths 7.3083, 7.3083, 7.3083 Å; angles 63.49, 63.49, 63.49 degrees
Fractional coordinates of all 18 atoms:
Ac 0.1190 0.1190 0.1190
Ac 0.8810 0.8810 0.8810
Co 0.5000 0.5000 0.5000
Ni 0.1402 0.6104 0.6104
Ni 0.1638 0.1638 0.5987
Ni 0.1638 0.5987 0.1638
Ni 0.3896 0.3896 0.8598
Ni 0.3896 0.8598 0.3896
Ni 0.4013 0.8362 0.8362
Ni 0.5987 0.1638 0.1638
Ni 0.6104 0.1402 0.6104
Ni 0.6104 0.6104 0.1402
Ni 0.8362 0.4013 0.8362
Ni 0.8362 0.8362 0.4013
Ni 0.8598 0.3896 0.3896
P 0.0000 0.5000 0.5000
P 0.5000 0.0000 0.5000
P 0.5000 0.5000 0.0000

=====

A geometry-optimized Sc2Tl3CuTe6 structure. Source: Alexandria, functional PBE.

Computed properties:
Total magnetization ... 0.00 μB/cell
Raw formation energy ... -0.587 eV/atom
DOS at the Fermi energy ... 0.74 states/eV per atom

Cell lengths 7.3690, 7.3690, 8.1637 Å; angles 98.95, 98.95, 119.71 degrees
Fractional coordinates of all 12 atoms:
Sc 0.1626 0.8374 0.0000
Sc 0.8374 0.1626 0.0000
Tl 0.0000 0.0000 0.5000
Tl 0.3186 0.6814 0.5000
Tl 0.6814 0.3186 0.5000
Cu 0.5000 0.5000 0.0000
Te 0.1196 0.4386 0.8068
Te 0.2409 0.2409 0.2156
Te 0.4386 0.1196 0.8068
Te 0.5614 0.8804 0.1932
Te 0.7591 0.7591 0.7844
Te 0.8804 0.5614 0.1932